# Y3HfPb2C2

A geometry-optimized Y3HfPb2C2 structure (PBE-GGA, the Open Quantum Materials Database).

Structure (POSCAR):
```
Y3HfPb2C2
1.0
3.560 0.000 0.000
-1.780 3.083 0.000
0.000 0.000 15.816
C Hf Pb Y
2 1 2 3
direct
0.667 0.333 0.015
0.667 0.333 0.496
0.000 0.000 0.081
0.333 0.667 0.239
0.000 0.000 0.753
0.000 0.000 0.412
0.333 0.667 0.582
0.333 0.667 0.922
```

total moment	0.0	μB per formula unit
theoretical density	8452	kg/m³
V	173.6	Å³/f.u.
space-group type	P3m1, No. 156
uncorrected energy	-7.436	eV/atom

---

# TmTlPt

A geometry-optimized TmTlPt structure (PBE-GGA, the Open Quantum Materials Database).

Structure (POSCAR):
```
TmTlPt
1.0
1.842 -2.818 3.382
0.006 1.428 4.553
-2.873 -2.117 3.168
Pt Tl Tm
1 1 1
direct
0.250 0.250 0.250
0.750 0.750 0.750
0.000 0.000 0.000
```

total moment	0.0	μB per formula unit
theoretical density	12284	kg/m³
V	76.8	Å³/f.u.
space-group type	F-43m, No. 216
uncorrected energy	-4.542	eV/atom

---

# ScCoTcSn

A geometry-optimized ScCoTcSn structure (PBE-GGA, the Open Quantum Materials Database).

Structure (POSCAR):
```
ScCoTcSn
1.0
0.000 3.180 3.180
3.180 0.000 3.180
3.180 3.180 0.000
Co Sc Sn Tc
1 1 1 1
direct
0.750 0.750 0.750
0.500 0.500 0.500
0.000 0.000 0.000
0.250 0.250 0.250
```

total moment	0.4	μB per formula unit
theoretical density	8277	kg/m³
V	64.3	Å³/f.u.
ΔE to the lowest computed polymorph	0.000	eV/atom
space-group type	F-43m, No. 216

---

# HfInMo

A geometry-optimized HfInMo structure (PBE-GGA, the Open Quantum Materials Database).

Structure (POSCAR):
```
HfInMo
1.0
0.000 3.261 3.261
3.261 0.000 3.261
3.261 3.261 0.000
Hf In Mo
1 1 1
direct
0.250 0.250 0.250
0.750 0.750 0.750
0.000 0.000 0.000
```

total moment	0.9	μB per formula unit
theoretical density	9318	kg/m³
V	69.4	Å³/f.u.
ΔE to the lowest computed polymorph	0.000	eV/atom
space-group type	F-43m, No. 216

---

# GdDy2HoAl2

A geometry-optimized GdDy2HoAl2 structure (PBE-GGA, the Open Quantum Materials Database).

Structure (POSCAR):
```
GdDy2HoAl2
1.0
5.239 0.000 0.000
-2.619 4.537 0.000
0.000 0.000 6.654
Al Dy Gd Ho
2 2 1 1
direct
0.333 0.667 0.000
0.000 0.000 0.500
0.667 0.333 0.252
0.667 0.333 0.748
0.000 0.000 0.000
0.333 0.667 0.500
```

total moment	0.0	μB per formula unit
theoretical density	7362	kg/m³
V	158.2	Å³/f.u.
space-group type	P-6m2, No. 187
uncorrected energy	-4.589	eV/atom

---

# Ba2FeB

A geometry-optimized Ba2FeB structure (PBE-GGA, the Open Quantum Materials Database).

Structure (POSCAR):
```
Ba2FeB
1.0
3.591 -2.517 2.841
2.263 2.387 4.059
-1.116 -1.513 4.875
B Ba Fe
1 2 1
direct
0.500 0.500 0.500
0.000 0.000 0.000
0.750 0.750 0.750
0.250 0.250 0.250
```

total moment	3.0	μB per formula unit
theoretical density	5619	kg/m³
V	100.9	Å³/f.u.
space-group type	F-43m, No. 216
uncorrected energy	-3.514	eV/atom

---

# TmIn2

A geometry-optimized TmIn2 structure (PBE-GGA, the Open Quantum Materials Database).

Structure (POSCAR):
```
TmIn2
1.0
3.669 -3.029 3.569
-2.219 -3.558 4.218
0.472 -5.904 -0.539
In Tm
4 2
direct
0.625 0.625 0.125
0.625 0.125 0.625
0.125 0.625 0.625
0.625 0.625 0.625
0.000 0.000 0.000
0.250 0.250 0.250
```

total moment	0.0	μB per formula unit
theoretical density	8897	kg/m³
V	74.4	Å³/f.u.
space-group type	Fd-3m, No. 227
uncorrected energy	-3.576	eV/atom

---

# TbErCo2Ge4

A geometry-optimized TbErCo2Ge4 structure (PBE-GGA, the Open Quantum Materials Database).

Structure (POSCAR):
```
TbErCo2Ge4
1.0
4.146 0.000 0.000
0.000 2.066 8.273
0.000 -2.066 8.273
Co Er Ge Tb
2 1 4 1
direct
0.500 0.181 0.181
0.000 0.819 0.819
0.000 0.609 0.609
0.500 0.045 0.045
0.000 0.249 0.249
0.500 0.750 0.750
0.000 0.955 0.955
0.500 0.391 0.391
```

total moment	0.0	μB per formula unit
theoretical density	8607	kg/m³
V	141.7	Å³/f.u.
space-group type	Amm2, No. 38
uncorrected energy	-5.865	eV/atom

---

# HoB4

A geometry-optimized HoB4 structure (PBE-GGA, the Open Quantum Materials Database).

Structure (POSCAR):
```
HoB4
1.0
7.072 0.000 0.000
0.000 7.072 0.000
0.000 0.000 4.000
B Ho
16 4
direct
0.000 0.000 0.203
0.500 0.500 0.203
0.824 0.039 0.500
0.587 0.087 0.500
0.039 0.176 0.500
0.539 0.324 0.500
0.087 0.413 0.500
0.324 0.461 0.500
0.676 0.539 0.500
0.913 0.587 0.500
0.461 0.676 0.500
0.961 0.824 0.500
0.413 0.913 0.500
0.176 0.961 0.500
0.000 0.000 0.797
0.500 0.500 0.797
0.317 0.183 0.000
0.817 0.317 0.000
0.183 0.683 0.000
0.683 0.817 0.000
```

total moment	0.0	μB per formula unit
theoretical density	6913	kg/m³
V	50.0	Å³/f.u.
space-group type	P4/mbm, No. 127
uncorrected energy	-6.852	eV/atom

---

# Pr3Ge3W2N12

A geometry-optimized Pr3Ge3W2N12 structure (PBE-GGA, the Open Quantum Materials Database).

Structure (POSCAR):
```
Pr3Ge3W2N12
1.0
-6.367 6.367 6.367
6.367 -6.367 6.367
6.367 6.367 -6.367
Ge N Pr W
12 48 12 8
direct
0.875 0.250 0.125
0.750 0.875 0.125
0.625 0.375 0.250
0.125 0.875 0.250
0.250 0.625 0.375
0.625 0.750 0.375
0.375 0.250 0.625
0.750 0.375 0.625
0.875 0.125 0.750
0.375 0.625 0.750
0.250 0.125 0.875
0.125 0.750 0.875
0.197 0.112 0.016
0.319 0.904 0.016
0.888 0.404 0.085
0.697 0.681 0.085
0.984 0.681 0.096
0.612 0.415 0.096
0.016 0.197 0.112
0.596 0.915 0.112
0.197 0.585 0.181
0.484 0.596 0.181
0.112 0.016 0.197
0.585 0.181 0.197
0.484 0.388 0.303
0.319 0.915 0.303
0.904 0.016 0.319
0.915 0.303 0.319
0.303 0.484 0.388
0.585 0.904 0.388
0.819 0.516 0.404
0.085 0.888 0.404
0.096 0.612 0.415
0.819 0.803 0.415
0.596 0.181 0.484
0.388 0.303 0.484
0.612 0.697 0.516
0.404 0.819 0.516
0.904 0.388 0.585
0.181 0.197 0.585
0.915 0.112 0.596
0.181 0.484 0.596
0.415 0.096 0.612
0.697 0.516 0.612
0.096 0.984 0.681
0.085 0.697 0.681
0.681 0.085 0.697
0.516 0.612 0.697
0.415 0.819 0.803
0.888 0.984 0.803
0.516 0.404 0.819
0.803 0.415 0.819
0.984 0.803 0.888
0.404 0.085 0.888
0.016 0.319 0.904
0.388 0.585 0.904
0.303 0.319 0.915
0.112 0.596 0.915
0.681 0.096 0.984
0.803 0.888 0.984
0.250 0.375 0.125
0.375 0.750 0.125
0.375 0.125 0.250
0.875 0.625 0.250
0.750 0.125 0.375
0.125 0.250 0.375
0.875 0.750 0.625
0.250 0.875 0.625
0.125 0.375 0.750
0.625 0.875 0.750
0.625 0.250 0.875
0.750 0.625 0.875
0.000 0.000 0.000
0.500 0.000 0.000
0.000 0.500 0.000
0.500 0.500 0.000
0.000 0.000 0.500
0.500 0.000 0.500
0.000 0.500 0.500
0.500 0.500 0.500
```

total moment	2.9	μB per formula unit
theoretical density	7570	kg/m³
V	258.1	Å³/f.u.
space-group type	Ia-3d, No. 230
uncorrected energy	-8.082	eV/atom

---

# MgCdSO

A geometry-optimized MgCdSO structure (PBE-GGA, the Open Quantum Materials Database).

Structure (POSCAR):
```
MgCdSO
1.0
-4.442 3.792 -0.575
-2.103 -2.619 -1.032
-3.539 -2.205 12.805
Cd Mg O S
4 4 4 4
direct
0.638 0.250 0.186
0.138 0.250 0.314
0.862 0.750 0.686
0.362 0.750 0.814
0.202 0.750 0.086
0.702 0.750 0.414
0.298 0.250 0.586
0.798 0.250 0.914
0.259 0.250 0.161
0.759 0.250 0.339
0.241 0.750 0.661
0.741 0.750 0.839
0.774 0.750 0.065
0.274 0.750 0.435
0.726 0.250 0.565
0.226 0.250 0.935
```

theoretical density	4419	kg/m³
V	69.4	Å³/f.u.
ΔE to the lowest computed polymorph	0.191	eV/atom
space-group type	Pnma, No. 62

---

# BeCuTcAs

A geometry-optimized BeCuTcAs structure (PBE-GGA, the Open Quantum Materials Database).

Structure (POSCAR):
```
BeCuTcAs
1.0
2.973 -2.886 -0.408
-1.022 -4.033 -0.163
0.384 -2.102 -3.573
As Be Cu Tc
1 1 1 1
direct
0.000 0.000 0.000
0.500 0.500 0.500
0.750 0.750 0.750
0.250 0.250 0.250
```

total moment	0.0	μB per formula unit
theoretical density	7987	kg/m³
V	51.0	Å³/f.u.
ΔE to the lowest computed polymorph	0.000	eV/atom
space-group type	F-43m, No. 216